The following is a PBE calculation of an optimized crystal structure of Ce2SiH, from Alexandria.

## Properties
- calculated volume (Å³/cell) = 238.3
- energy relative to the lowest polymorph listed for this composition (eV per atom) = 0.000
- crystal system = trigonal

The structure in CIF format:
```
data_Ce2SiH
_cell_length_a 5.3181
_cell_length_b 5.3181
_cell_length_c 9.7304
_cell_angle_alpha 90.00
_cell_angle_beta 90.00
_cell_angle_gamma 120.00
_space_group_name_H-M_alt 'P 31 2 1'
_space_group_IT_number 152
_space_group_name_Hall 'P 31 2"'
loop_
_atom_site_label
_atom_site_fract_x
_atom_site_fract_y
_atom_site_fract_z
Ce1 0.0731 0.3495 0.3660
Si1 0.0000 0.4025 0.6667
H1 0.0000 0.5240 0.1667
```


The following is a PBE calculation of an optimized crystal structure of Ce7Si3H2, from Alexandria.

## Properties
- DFT total energy (eV per atom) = -5.779
- calculated volume (Å³/cell) = 490.5
- crystal system = orthorhombic

The structure in CIF format:
```
data_Ce7Si3H2
_cell_length_a 4.588
_cell_length_b 24.856
_cell_length_c 4.301
_cell_angle_alpha 90.00
_cell_angle_beta 90.00
_cell_angle_gamma 90.00
_space_group_name_H-M_alt 'C m m m'
_space_group_IT_number 65
_space_group_name_Hall '-C 2 2'
loop_
_atom_site_label
_atom_site_fract_x
_atom_site_fract_y
_atom_site_fract_z
Ce1 0.000 0.000 0.000
Ce2 0.000 0.092 0.500
Ce3 0.000 0.214 0.000
Ce4 0.000 0.399 0.000
Si1 0.000 0.313 0.500
Si2 0.000 0.500 0.500
H1 0.000 0.122 0.000
```


The following is a PBE calculation of an optimized crystal structure of Ce4Si2H3, from Alexandria.

## Properties
- DFT total energy (eV per atom) = -5.329
- calculated volume (Å³/cell) = 339.7
- crystal system = monoclinic

The structure in CIF format:
```
data_Ce4Si2H3
_cell_length_a 7.429
_cell_length_b 3.803
_cell_length_c 12.089
_cell_angle_alpha 90.00
_cell_angle_beta 96.10
_cell_angle_gamma 90.00
_space_group_name_H-M_alt 'C 1 2/m 1'
_space_group_IT_number 12
_space_group_name_Hall '-C 2y'
loop_
_atom_site_label
_atom_site_fract_x
_atom_site_fract_y
_atom_site_fract_z
Ce1 0.072 0.000 0.392
Ce2 0.116 0.500 0.891
Si1 0.223 0.500 0.247
H1 0.000 0.000 0.000
H2 0.127 0.500 0.531
```


The following is a PBE calculation of an optimized crystal structure of Ce2SiH, from Alexandria.

## Properties
- calculated volume (Å³/cell) = 70.9
- energy relative to the lowest polymorph listed for this composition (eV per atom) = 0.098
- crystal system = tetragonal

The structure in CIF format:
```
data_Ce2SiH
_cell_length_a 3.231
_cell_length_b 3.231
_cell_length_c 6.789
_cell_angle_alpha 90.00
_cell_angle_beta 90.00
_cell_angle_gamma 90.00
_space_group_name_H-M_alt 'P 4/m m m'
_space_group_IT_number 123
_space_group_name_Hall '-P 4 2'
loop_
_atom_site_label
_atom_site_fract_x
_atom_site_fract_y
_atom_site_fract_z
Ce1 0.000 0.000 0.207
Si1 0.500 0.500 0.500
H1 0.500 0.500 0.000
```


The following is a PBE calculation of an optimized crystal structure of Ce5Si2H2, from Alexandria.

## Properties
- DFT total energy (eV per atom) = -5.638
- calculated volume (Å³/cell) = 778.7
- crystal system = orthorhombic

The structure in CIF format:
```
data_Ce5Si2H2
_cell_length_a 20.121
_cell_length_b 6.262
_cell_length_c 6.180
_cell_angle_alpha 90.00
_cell_angle_beta 90.00
_cell_angle_gamma 90.00
_space_group_name_H-M_alt 'I m a 2'
_space_group_IT_number 46
_space_group_name_Hall 'I 2 -2a'
loop_
_atom_site_label
_atom_site_fract_x
_atom_site_fract_y
_atom_site_fract_z
Ce1 0.005 0.247 0.000
Ce2 0.148 0.513 0.745
Ce3 0.250 0.062 0.726
Si1 0.106 0.517 0.247
H1 0.000 0.000 0.254
H2 0.250 0.093 0.098
```


The following is a PBE calculation of an optimized crystal structure of Ce3Si2H, from Alexandria.

## Properties
- DFT total energy (eV per atom) = -5.703
- calculated volume (Å³/cell) = 567.4
- crystal system = monoclinic

The structure in CIF format:
```
data_Ce3Si2H
_cell_length_a 12.646
_cell_length_b 5.776
_cell_length_c 8.214
_cell_angle_alpha 90.00
_cell_angle_beta 108.95
_cell_angle_gamma 90.00
_space_group_name_H-M_alt 'C 1 2/c 1'
_space_group_IT_number 15
_space_group_name_Hall '-C 2yc'
loop_
_atom_site_label
_atom_site_fract_x
_atom_site_fract_y
_atom_site_fract_z
Ce1 0.000 0.005 0.250
Ce2 0.157 0.500 0.078
Si1 0.172 0.000 0.086
H1 0.000 0.492 0.250
```


The following is a PBE calculation of an optimized crystal structure of CeSiH2, from Alexandria.

## Properties
- calculated volume (Å³/cell) = 97.1
- energy relative to the lowest polymorph listed for this composition (eV per atom) = 0.000
- crystal system = monoclinic

The structure in CIF format:
```
data_CeSiH2
_cell_length_a 4.202
_cell_length_b 4.078
_cell_length_c 6.034
_cell_angle_alpha 90.00
_cell_angle_beta 110.12
_cell_angle_gamma 90.00
_space_group_name_H-M_alt 'P 1 21/m 1'
_space_group_IT_number 11
_space_group_name_Hall '-P 2yb'
loop_
_atom_site_label
_atom_site_fract_x
_atom_site_fract_y
_atom_site_fract_z
Ce1 0.148 0.250 0.297
Si1 0.433 0.250 0.878
H1 0.133 0.750 0.103
H2 0.250 0.750 0.501
```


The following is a PBE calculation of an optimized crystal structure of Ce2SiH4, from Alexandria.

## Properties
- DFT total energy (eV per atom) = -4.774
- calculated volume (Å³/cell) = 189.3
- crystal system = tetragonal

The structure in CIF format:
```
data_Ce2SiH4
_cell_length_a 6.951
_cell_length_b 6.951
_cell_length_c 3.917
_cell_angle_alpha 90.00
_cell_angle_beta 90.00
_cell_angle_gamma 90.00
_space_group_name_H-M_alt 'P 42/m n m'
_space_group_IT_number 136
_space_group_name_Hall '-P 4n 2n'
loop_
_atom_site_label
_atom_site_fract_x
_atom_site_fract_y
_atom_site_fract_z
Ce1 0.215 0.215 0.000
Si1 0.000 0.000 0.500
H1 0.110 0.651 0.000
```


The following is a PBE calculation of an optimized crystal structure of CeSiH2, from Alexandria.

## Properties
- calculated volume (Å³/cell) = 200.1
- energy relative to the lowest polymorph listed for this composition (eV per atom) = 0.059
- crystal system = orthorhombic

The structure in CIF format:
```
data_CeSiH2
_cell_length_a 7.682
_cell_length_b 4.395
_cell_length_c 5.926
_cell_angle_alpha 90.00
_cell_angle_beta 90.00
_cell_angle_gamma 90.00
_space_group_name_H-M_alt 'P n m a'
_space_group_IT_number 62
_space_group_name_Hall '-P 2ac 2n'
loop_
_atom_site_label
_atom_site_fract_x
_atom_site_fract_y
_atom_site_fract_z
Ce1 0.187 0.250 0.147
Si1 0.030 0.250 0.619
H1 0.083 0.514 0.831
```


The following is a PBE calculation of an optimized crystal structure of Ce3SiH3, from Alexandria.

## Properties
- DFT total energy (eV per atom) = -5.156
- calculated volume (Å³/cell) = 789.6
- crystal system = trigonal

The structure in CIF format:
```
data_Ce3SiH3
_cell_length_a 6.7562
_cell_length_b 6.7562
_cell_length_c 19.9739
_cell_angle_alpha 90.00
_cell_angle_beta 90.00
_cell_angle_gamma 120.00
_space_group_name_H-M_alt 'R -3'
_space_group_IT_number 148
_space_group_name_Hall '-R 3'
loop_
_atom_site_label
_atom_site_fract_x
_atom_site_fract_y
_atom_site_fract_z
Ce1 0.0002 0.3254 0.4108
Si1 0.0000 0.0000 0.1665
H1 0.0010 0.3439 0.6264
```


The following is a PBE calculation of an optimized crystal structure of CeSiH6, from Alexandria.

## Properties
- DFT total energy (eV per atom) = -4.055
- calculated volume (Å³/cell) = 132.9
- crystal system = monoclinic

The structure in CIF format:
```
data_CeSiH6
_cell_length_a 7.329
_cell_length_b 4.234
_cell_length_c 4.929
_cell_angle_alpha 90.00
_cell_angle_beta 119.64
_cell_angle_gamma 90.00
_space_group_name_H-M_alt 'C 1 2/m 1'
_space_group_IT_number 12
_space_group_name_Hall '-C 2y'
loop_
_atom_site_label
_atom_site_fract_x
_atom_site_fract_y
_atom_site_fract_z
Ce1 0.000 0.000 0.000
Si1 0.000 0.500 0.500
H1 0.095 0.500 0.262
H2 0.166 0.239 0.737
```


The following is a PBE calculation of an optimized crystal structure of Ce3SiH2, from Alexandria.

## Properties
- DFT total energy (eV per atom) = -5.374
- calculated volume (Å³/cell) = 231.0
- crystal system = orthorhombic

The structure in CIF format:
```
data_Ce3SiH2
_cell_length_a 4.860
_cell_length_b 12.558
_cell_length_c 3.785
_cell_angle_alpha 90.00
_cell_angle_beta 90.00
_cell_angle_gamma 90.00
_space_group_name_H-M_alt 'P m m n'
_space_group_IT_number 59
loop_
_space_group_symop_operation_xyz
'x,y,z'
'-x,-y,-z'
'-x+1/2,-y+1/2,z'
'x+1/2,y+1/2,-z'
'x+1/2,-y,-z'
'-x+1/2,y,z'
'-x,y+1/2,-z'
'x,-y+1/2,z'
loop_
_atom_site_label
_atom_site_fract_x
_atom_site_fract_y
_atom_site_fract_z
Ce1 0.250 0.063 0.250
Ce2 0.250 0.750 0.744
Si1 0.250 0.250 0.752
H1 0.250 0.558 0.749
```


The following is a PBE calculation of an optimized crystal structure of CeSiTcH2, from Alexandria.

## Properties
- DFT total energy (eV per atom) = -6.261
- calculated volume (Å³/cell) = 247.6
- crystal system = orthorhombic

The structure in CIF format:
```
data_CeSiTcH2
_cell_length_a 3.902
_cell_length_b 10.583
_cell_length_c 5.994
_cell_angle_alpha 90.00
_cell_angle_beta 90.00
_cell_angle_gamma 90.00
_space_group_name_H-M_alt 'C m c m'
_space_group_IT_number 63
_space_group_name_Hall '-C 2c 2'
loop_
_atom_site_label
_atom_site_fract_x
_atom_site_fract_y
_atom_site_fract_z
Ce1 0.000 0.202 0.250
Si1 0.000 0.076 0.750
Tc1 0.000 0.500 0.000
H1 0.000 0.335 0.559
```


The following is a PBE calculation of an optimized crystal structure of CeSi2Tc2H, from Alexandria.

## Properties
- DFT total energy (eV per atom) = -7.404
- calculated volume (Å³/cell) = 88.0
- crystal system = tetragonal

The structure in CIF format:
```
data_CeSi2Tc2H
_cell_length_a 4.129
_cell_length_b 4.129
_cell_length_c 5.161
_cell_angle_alpha 90.00
_cell_angle_beta 90.00
_cell_angle_gamma 90.00
_space_group_name_H-M_alt 'P 4/m m m'
_space_group_IT_number 123
_space_group_name_Hall '-P 4 2'
loop_
_atom_site_label
_atom_site_fract_x
_atom_site_fract_y
_atom_site_fract_z
Ce1 0.000 0.000 0.000
Si1 0.500 0.500 0.232
Tc1 0.000 0.500 0.500
H1 0.000 0.000 0.500
```


The following is a PBE calculation of an optimized crystal structure of Ce2Si2Tc2H, from Alexandria.

## Properties
- DFT total energy (eV per atom) = -7.170
- calculated volume (Å³/cell) = 236.6
- crystal system = monoclinic

The structure in CIF format:
```
data_Ce2Si2Tc2H
_cell_length_a 10.991
_cell_length_b 3.774
_cell_length_c 7.398
_cell_angle_alpha 90.00
_cell_angle_beta 129.54
_cell_angle_gamma 90.00
_space_group_name_H-M_alt 'C 1 2/m 1'
_space_group_IT_number 12
_space_group_name_Hall '-C 2y'
loop_
_atom_site_label
_atom_site_fract_x
_atom_site_fract_y
_atom_site_fract_z
Ce1 0.079 0.000 0.310
Si1 0.142 0.500 0.688
Tc1 0.191 0.500 0.071
H1 0.000 0.500 0.000
```


The following is a PBE calculation of an optimized crystal structure of CeSmH2, from Alexandria.

## Properties
- calculated volume (Å³/cell) = 193.0
- energy relative to the lowest polymorph listed for this composition (eV per atom) = 0.089
- crystal system = trigonal

The structure in CIF format:
```
data_CeSmH2
_cell_length_a 3.4657
_cell_length_b 3.4657
_cell_length_c 18.5510
_cell_angle_alpha 90.00
_cell_angle_beta 90.00
_cell_angle_gamma 120.00
_space_group_name_H-M_alt 'R 3 m'
_space_group_IT_number 160
_space_group_name_Hall 'R 3 -2"'
loop_
_atom_site_label
_atom_site_fract_x
_atom_site_fract_y
_atom_site_fract_z
Ce1 0.0000 0.0000 0.0000
Sm1 0.0000 0.0000 0.8250
H1 0.0000 0.0000 0.2385
H2 0.0000 0.0000 0.4142
```


The following is a PBE calculation of an optimized crystal structure of Ce2SmH, from Alexandria.

## Properties
- calculated volume (Å³/cell) = 281.7
- energy relative to the lowest polymorph listed for this composition (eV per atom) = 0.000
- crystal system = trigonal

The structure in CIF format:
```
data_Ce2SmH
_cell_length_a 3.4885
_cell_length_b 3.4885
_cell_length_c 26.7263
_cell_angle_alpha 90.00
_cell_angle_beta 90.00
_cell_angle_gamma 120.00
_space_group_name_H-M_alt 'R -3 m'
_space_group_IT_number 166
_space_group_name_Hall '-R 3 2"'
loop_
_atom_site_label
_atom_site_fract_x
_atom_site_fract_y
_atom_site_fract_z
Ce1 0.0000 0.0000 0.2223
Sm1 0.0000 0.0000 0.0000
H1 0.0000 0.0000 0.5000
```


The following is a PBE calculation of an optimized crystal structure of CeSmH2, from Alexandria.

## Properties
- calculated volume (Å³/cell) = 192.3
- energy relative to the lowest polymorph listed for this composition (eV per atom) = 0.000
- crystal system = trigonal

The structure in CIF format:
```
data_CeSmH2
_cell_length_a 3.5420
_cell_length_b 3.5420
_cell_length_c 17.6971
_cell_angle_alpha 90.00
_cell_angle_beta 90.00
_cell_angle_gamma 120.00
_space_group_name_H-M_alt 'R -3 m'
_space_group_IT_number 166
_space_group_name_Hall '-R 3 2"'
loop_
_atom_site_label
_atom_site_fract_x
_atom_site_fract_y
_atom_site_fract_z
Ce1 0.0000 0.0000 0.0000
Sm1 0.0000 0.0000 0.5000
H1 0.0000 0.0000 0.2490
```


The following is a PBE calculation of an optimized crystal structure of Ce5Sm3H12, from Alexandria.

## Properties
- DFT total energy (eV per atom) = -4.570
- calculated volume (Å³/cell) = 2412.0
- crystal system = cubic

The structure in CIF format:
```
data_Ce5Sm3H12
_cell_length_a 13.411
_cell_length_b 13.411
_cell_length_c 13.411
_cell_angle_alpha 90.00
_cell_angle_beta 90.00
_cell_angle_gamma 90.00
_space_group_name_H-M_alt 'I a -3 d'
_space_group_IT_number 230
_space_group_name_Hall '-I 4bd 2c 3'
loop_
_atom_site_label
_atom_site_fract_x
_atom_site_fract_y
_atom_site_fract_z
Ce1 0.000 0.000 0.000
Ce2 0.000 0.250 0.375
Sm1 0.000 0.250 0.125
H1 0.002 0.073 0.655
```